Record 1
First-principles (PBE-GGA) data for a geometry-optimized CsTe2 structure, as listed in Alexandria via LeMat-Bulk.

The structure in POSCAR format:
```
CsTe2
1.0
0.000 4.838 4.838
4.838 0.000 4.838
4.838 4.838 0.000
Cs Te
2 4
direct
0.125 0.125 0.125 Cs
0.875 0.875 0.875 Cs
0.000 0.500 0.500 Te
0.500 0.000 0.500 Te
0.500 0.500 0.000 Te
0.500 0.500 0.500 Te
```

Output
- Crystal system: cubic
- Energy relative to the elements, uncorrected: -489 meV per atom
- Fermi-level density of states: 1.06 states/eV per atom


Record 2
First-principles (PBE-GGA) data for a geometry-optimized Na2Ga2Ag3 structure, as listed in Alexandria via LeMat-Bulk.

The structure in POSCAR format:
```
Na2Ga2Ag3
1.0
7.815 -1.555 0.000
7.815 1.555 0.000
-1.684 0.000 6.067
Na Ga Ag
2 2 3
direct
0.156 0.156 0.305 Na
0.844 0.844 0.695 Na
0.456 0.456 0.142 Ga
0.544 0.544 0.858 Ga
0.000 0.000 0.500 Ag
0.185 0.185 0.844 Ag
0.815 0.815 0.156 Ag
```

Output
- Crystal system: monoclinic
- ΔH_f (0 K): -29 meV per atom
- Fermi-level density of states: 0.36 states/eV per atom


Record 3
First-principles (PBE-GGA) data for a geometry-optimized SrAcI6 structure, as listed in Alexandria via LeMat-Bulk.

The structure in POSCAR format:
```
SrAcI6
1.0
8.171 0.000 0.000
4.073 7.084 0.000
3.975 2.248 6.883
Sr Ac I
1 1 6
direct
0.000 0.000 0.000 Sr
0.500 0.500 0.500 Ac
0.062 0.750 0.744 I
0.262 0.560 0.238 I
0.434 0.070 0.750 I
0.566 0.930 0.250 I
0.738 0.440 0.762 I
0.938 0.250 0.256 I
```

Output
- Crystal system: triclinic
- Energy relative to the elements, uncorrected: -1262 meV per atom
- Fermi-level density of states: 1.68 states/eV per atom